Entry from Alexandria: a relaxed structure of K2TaAlBi (GGA-PBE).

Structure (POSCAR):
```
K2TaAlBi
1.0
5.987 0.000 0.000
0.000 5.147 0.000
0.000 0.000 5.987
Al Ta K Bi
1 1 2 1
Cartesian
0.000 0.000 0.000
0.000 2.574 0.000
2.993 0.000 0.000
0.000 0.000 2.993
2.993 2.574 2.993
```

Total magnetic moment ... 1.68 μB/cell
Formation enthalpy at 0 K ... 1133 meV per atom

Entry from Alexandria: a relaxed structure of Re3Au (GGA-PBE).

Structure (POSCAR):
```
Re3Au
1.0
-2.728 3.939 -0.613
-3.165 -0.788 -3.564
1.104 -2.563 3.943
Au Re
1 3
Cartesian
0.000 0.000 0.000
-2.946 1.575 -2.088
-2.504 -0.888 -0.854
-2.285 1.476 0.621
```

Total magnetic moment ... 0.00 μB/cell
Formation enthalpy at 0 K ... 380 meV per atom

Q: total magnetic moment of number 1 (K2TaAlBi)?
A: 1.68 μB/cell